1.
{"formula": "KNi3Pb", "functional": "meta-GGA SCAN", "state": "single point on PBEsol structure", "cell": [[4.8693, 0.0000, 0.0000], [0.0000, 4.8693, 0.0000], [0.0000, 0.0000, 4.8693]], "species": ["Ni", "Ni", "Ni", "Pb", "K"], "frac_coords": [[0.0000, 0.0000, 0.5000], [0.5000, 0.0000, 0.0000], [0.0000, 0.5000, 0.0000], [0.0000, 0.0000, 0.0000], [0.5000, 0.5000, 0.5000]], "magnetic_moment_mub_per_atom": 0.552, "volume_a3_per_atom": 23.090, "dos_at_fermi_per_ev_cell": 3.29, "formation_energy_mev_per_atom": 914}


2.
{"formula": "KNi2Pb2", "functional": "meta-GGA SCAN", "state": "single point on PBEsol structure", "cell": [[4.7430, 0.0000, 0.0000], [0.0000, 4.7430, 0.0000], [-2.3715, -2.3715, 4.9282]], "species": ["Ni", "Ni", "Pb", "Pb", "K"], "frac_coords": [[0.3816, 0.3816, 0.7632], [0.6184, 0.6184, 0.2368], [0.7500, 0.2500, 0.5000], [0.2500, 0.7500, 0.5000], [0.0000, 0.0000, 0.0000]], "magnetic_moment_mub_per_atom": 0.000, "volume_a3_per_atom": 22.173, "dos_at_fermi_per_ev_cell": 3.04, "formation_energy_mev_per_atom": 203}


3.
{"formula": "K3NiPt", "functional": "meta-GGA SCAN", "state": "single point on PBEsol structure", "cell": [[-4.5676, 1.7374, -2.8347], [-3.2119, -1.0610, 4.5250], [0.8592, 5.2700, 1.8455]], "species": ["K", "K", "K", "Ni", "Pt"], "frac_coords": [[0.0000, 0.5000, 0.0000], [0.0000, 0.0000, 0.5000], [0.5000, 0.0000, 0.0000], [0.0000, 0.0000, 0.0000], [0.5000, 0.5000, 0.5000]], "magnetic_moment_mub_per_atom": 0.212, "volume_a3_per_atom": 36.064, "dos_at_fermi_per_ev_cell": 9.73, "formation_energy_mev_per_atom": 822}


4.
{"formula": "KTa2NiPt", "functional": "meta-GGA SCAN", "state": "single point on PBEsol structure", "cell": [[-3.8505, -1.8207, -2.3820], [0.0813, -3.9392, 2.8794], [-3.0039, 2.2374, 3.1457]], "species": ["Ta", "Ta", "Ni", "K", "Pt"], "frac_coords": [[0.5000, 0.0000, 0.0000], [0.0000, 0.5000, 0.0000], [0.0000, 0.0000, 0.5000], [0.5000, 0.5000, 0.5000], [0.0000, 0.0000, 0.0000]], "magnetic_moment_mub_per_atom": 0.474, "volume_a3_per_atom": 23.297, "dos_at_fermi_per_ev_cell": 6.13, "formation_energy_mev_per_atom": 1222}